Entry 1:
{"formula": "TmBeRe", "functional": "PBE", "state": "relaxed", "sg": "F-43m, No. 216", "m_tot_mub_per_fu": 0.02, "final_energy_ev_per_cell": -19.17, "cell": [[0.000, 2.961, 2.961], [2.961, 0.000, 2.961], [2.961, 2.961, 0.000]], "species": ["Re", "Tm", "Be"], "frac_coords": [[0.250, 0.250, 0.250], [0.750, 0.750, 0.750], [0.000, 0.000, 0.000]]}

=====

Entry 2:
{"formula": "UBeRe", "functional": "PBE", "state": "relaxed", "sg": "F-43m, No. 216", "m_tot_mub_per_fu": 0.49, "final_energy_ev_per_cell": -23.66, "cell": [[0.000, 3.077, 3.077], [3.077, 0.000, 3.077], [3.077, 3.077, 0.000]], "species": ["U", "Be", "Re"], "frac_coords": [[0.000, 0.000, 0.000], [0.750, 0.750, 0.750], [0.250, 0.250, 0.250]]}

=====

Entry 3:
{"formula": "UBeRe", "functional": "PBE", "state": "relaxed", "sg": "F-43m, No. 216", "m_tot_mub_per_fu": 1.33, "final_energy_ev_per_cell": -26.01, "cell": [[0.255, 0.842, 4.051], [-1.054, 3.754, 1.407], [-3.455, 0.480, 2.238]], "species": ["Be", "U", "Re"], "frac_coords": [[0.000, 0.000, 0.000], [0.750, 0.750, 0.750], [0.250, 0.250, 0.250]]}

=====

Entry 4:
{"formula": "BeReW", "functional": "PBE", "state": "relaxed", "sg": "F-43m, No. 216", "m_tot_mub_per_fu": 0.00, "final_energy_ev_per_cell": -27.23, "cell": [[0.000, 2.763, 2.763], [2.763, 0.000, 2.763], [2.763, 2.763, 0.000]], "species": ["Be", "W", "Re"], "frac_coords": [[0.000, 0.000, 0.000], [0.750, 0.750, 0.750], [0.250, 0.250, 0.250]]}

=====

Entry 5:
{"formula": "YBeRe", "functional": "PBE", "state": "relaxed", "sg": "F-43m, No. 216", "m_tot_mub_per_fu": 1.95, "final_energy_ev_per_cell": -17.55, "cell": [[0.000, 3.224, 3.224], [3.224, 0.000, 3.224], [3.224, 3.224, 0.000]], "species": ["Be", "Re", "Y"], "frac_coords": [[0.250, 0.250, 0.250], [0.750, 0.750, 0.750], [0.000, 0.000, 0.000]]}

=====

Entry 6:
{"formula": "Y2BeRe", "functional": "PBE", "state": "relaxed", "sg": "F-43m, No. 216", "m_tot_mub_per_fu": 0.09, "final_energy_ev_per_cell": -26.98, "cell": [[-4.747, -0.377, 0.077], [-2.673, 3.071, -2.471], [-2.336, -1.465, -3.883]], "species": ["Be", "Re", "Y", "Y"], "frac_coords": [[0.500, 0.500, 0.500], [0.250, 0.250, 0.250], [0.750, 0.750, 0.750], [0.000, 0.000, 0.000]]}

=====

Entry 7:
{"formula": "YBe2Re", "functional": "PBE", "state": "relaxed", "sg": "F-43m, No. 216", "m_tot_mub_per_fu": 0.01, "final_energy_ev_per_cell": -23.59, "cell": [[3.678, -1.590, -1.904], [1.856, -3.728, 1.530], [-0.180, -3.719, -2.412]], "species": ["Be", "Be", "Y", "Re"], "frac_coords": [[0.000, 0.000, 0.000], [0.750, 0.750, 0.750], [0.250, 0.250, 0.250], [0.500, 0.500, 0.500]]}

=====

Entry 8:
{"formula": "YBeRe", "functional": "PBE", "state": "relaxed", "sg": "F-43m, No. 216", "m_tot_mub_per_fu": 0.01, "final_energy_ev_per_cell": -19.46, "cell": [[-2.979, -0.063, 3.216], [-2.730, 3.390, 0.527], [-4.255, -0.441, -0.962]], "species": ["Be", "Y", "Re"], "frac_coords": [[0.250, 0.250, 0.250], [0.750, 0.750, 0.750], [0.000, 0.000, 0.000]]}

=====

Entry 9:
{"formula": "Be2ZnRe", "functional": "PBE", "state": "relaxed", "sg": "F-43m, No. 216", "m_tot_mub_per_fu": 0.04, "final_energy_ev_per_cell": -19.40, "cell": [[0.000, 2.863, 2.863], [2.863, 0.000, 2.863], [2.863, 2.863, 0.000]], "species": ["Re", "Be", "Be", "Zn"], "frac_coords": [[0.750, 0.750, 0.750], [0.000, 0.000, 0.000], [0.250, 0.250, 0.250], [0.500, 0.500, 0.500]]}

=====

Entry 10:
{"formula": "ZrBe2Re", "functional": "PBE", "state": "relaxed", "sg": "F-43m, No. 216", "m_tot_mub_per_fu": 0.15, "final_energy_ev_per_cell": -27.07, "cell": [[0.508, -3.456, -2.545], [-2.916, -3.189, 0.079], [-2.632, -0.606, -3.374]], "species": ["Re", "Be", "Be", "Zr"], "frac_coords": [[0.500, 0.500, 0.500], [0.750, 0.750, 0.750], [0.000, 0.000, 0.000], [0.250, 0.250, 0.250]]}

=====

Entry 11:
{"formula": "ZrBeRe2", "functional": "PBE", "state": "relaxed", "sg": "F-43m, No. 216", "m_tot_mub_per_fu": 0.00, "final_energy_ev_per_cell": -36.73, "cell": [[3.705, 2.388, 0.265], [0.428, 3.070, 3.146], [2.808, -0.645, 3.347]], "species": ["Re", "Re", "Be", "Zr"], "frac_coords": [[0.000, 0.000, 0.000], [0.750, 0.750, 0.750], [0.500, 0.500, 0.500], [0.250, 0.250, 0.250]]}

=====

Entry 12:
{"formula": "Zr2BeRe", "functional": "PBE", "state": "relaxed", "sg": "F-43m, No. 216", "m_tot_mub_per_fu": 0.00, "final_energy_ev_per_cell": -32.56, "cell": [[3.230, -1.469, 2.863], [-0.634, 0.310, 4.505], [-0.686, -3.770, 2.470]], "species": ["Zr", "Zr", "Re", "Be"], "frac_coords": [[0.750, 0.750, 0.750], [0.000, 0.000, 0.000], [0.250, 0.250, 0.250], [0.500, 0.500, 0.500]]}

=====

Copy entry 5 word for word.
{"formula": "YBeRe", "functional": "PBE", "state": "relaxed", "sg": "F-43m, No. 216", "m_tot_mub_per_fu": 1.95, "final_energy_ev_per_cell": -17.55, "cell": [[0.000, 3.224, 3.224], [3.224, 0.000, 3.224], [3.224, 3.224, 0.000]], "species": ["Be", "Re", "Y"], "frac_coords": [[0.250, 0.250, 0.250], [0.750, 0.750, 0.750], [0.000, 0.000, 0.000]]}